Entry 1:
The following is a GGA-PBE calculation of an optimized crystal structure of Li2MgSnB, from the Alexandria database.

Cell: 4.4541 4.5040 4.4541 Å, 90.00 90.00 90.00°
Last column: nearest neighbours and their distance in Å.
Fractional positions:
1 Li 0.5000 0.0000 0.0000  2 B 2.23
2 Li 0.0000 0.0000 0.5000  2 B 2.23
3 Sn 0.5000 0.5000 0.5000  4 Mg 3.15, 8 Li 3.17
4 Mg 0.0000 0.5000 0.0000  2 B 2.25
5 B 0.0000 0.0000 0.0000  4 Li 2.23, 2 Mg 2.25

Computed properties:
Its symmetry is P4/mmm (123). The density of states at the Fermi level comes out at 2.3 states/eV/cell. The energy of formation from the pure elements comes out at 268.8 meV per atom. The calculation puts the final energy at -2.95 eV per atom. Its crystal system is tetragonal.

***

Entry 2:
The following is a GGA-PBE calculation of an optimized crystal structure of LiCu6Rh2, from the Alexandria database.

Cell: 3.7354 4.5618 7.6723 Å, 94.24 75.91 65.83°
Last column: nearest neighbours and their distance in Å.
Fractional positions:
1 Li 0.0000 0.5000 0.5000  12 Cu 2.54-2.65
2 Cu 0.5483 0.6173 0.2860  7 Cu 2.53-2.66, 2 Li 2.56, 3 Rh 2.64
3 Cu 0.7784 0.0534 0.3899  8 Cu 2.53-2.61, 3 Li 2.59-2.65, 1 Rh 2.61
4 Cu 0.6702 0.8348 0.8248  1 Li 2.54, 6 Cu 2.56-2.70, 5 Rh 2.63-2.66
5 Cu 0.4517 0.3827 0.7140  7 Cu 2.53-2.66, 2 Li 2.56, 3 Rh 2.64
6 Cu 0.3298 0.1652 0.1752  1 Li 2.54, 6 Cu 2.56-2.70, 5 Rh 2.63-2.66
7 Cu 0.2216 0.9466 0.6101  8 Cu 2.53-2.61, 3 Li 2.59-2.65, 1 Rh 2.61
8 Rh 0.8867 0.2800 0.9465  3 Rh 2.61-2.63, 9 Cu 2.61-2.66
9 Rh 0.1133 0.7200 0.0535  3 Rh 2.61-2.63, 9 Cu 2.61-2.66

Computed properties:
Its symmetry is C2/m (12). The density of states at the Fermi level comes out at 4.9 states/eV/cell. The energy of formation from the pure elements comes out at -17.3 meV per atom. The calculation puts the final energy at -4.59 eV per atom. Its crystal system is monoclinic.

***

Entry 3:
The following is a GGA-PBE calculation of an optimized crystal structure of La8Pt2RhC, from the Alexandria database.

Cell: 6.8692 6.7134 8.3457 Å, 90.00 90.00 90.38°
Last column: nearest neighbours and their distance in Å.
Fractional positions:
1 Rh 0.0000 0.0000 0.5000  6 La 2.89-2.91
2 La 0.6639 0.7383 0.5000  1 Rh 2.89, 2 Pt 2.90
3 La 0.6905 0.7546 0.0000  1 C 2.68, 2 Pt 2.95
4 La 0.3095 0.2454 0.0000  1 C 2.68, 2 Pt 2.95
5 La 0.1541 0.7797 0.2276  1 C 2.63, 1 Rh 2.91
6 La 0.8459 0.2203 0.7724  1 C 2.63, 1 Rh 2.91
7 La 0.1541 0.7797 0.7724  1 C 2.63, 1 Rh 2.91
8 La 0.3361 0.2617 0.5000  1 Rh 2.89, 2 Pt 2.90
9 La 0.8459 0.2203 0.2276  1 C 2.63, 1 Rh 2.91
10 C 0.0000 0.0000 0.0000  6 La 2.63-2.68
11 Pt 0.5000 0.5000 0.7577  6 La 2.90-3.04
12 Pt 0.5000 0.5000 0.2423  6 La 2.90-3.04

Computed properties:
Its symmetry is P2/m (10). The density of states at the Fermi level comes out at 13.4 states/eV/cell. The energy of formation from the pure elements comes out at -525.8 meV per atom. The calculation puts the final energy at -6.20 eV per atom. Its crystal system is monoclinic.

***

Entry 4:
The following is a GGA-PBE calculation of an optimized crystal structure of Cd2OsO, from the Alexandria database.

Cell: 7.0242 7.0242 5.6328 Å, 51.43 51.43 90.00°
Last column: nearest neighbours and their distance in Å.
Fractional positions:
1 Cd 0.5645 0.1250 0.2500  2 O 2.30
2 Cd 0.1855 0.6250 0.2500  2 O 2.30
3 Cd 0.3750 0.4355 0.7500  2 O 2.30
4 Cd 0.8750 0.8145 0.7500  2 O 2.30
5 Os 0.0000 0.0000 0.0000  2 O 2.66, 8 Cd 2.88-2.97
6 Os 0.7500 0.2500 0.5000  2 O 2.66, 8 Cd 2.88-2.97
7 O 0.5000 0.5000 0.0000  4 Cd 2.30
8 O 0.2500 0.7500 0.5000  4 Cd 2.30

Computed properties:
Its symmetry is I-42d (122). The density of states at the Fermi level comes out at 9.3 states/eV/cell. The formation energy (no corrections) is 595 meV/atom. The calculation puts the final energy at -3.91 eV per atom. Its crystal system is tetragonal.

***

Entry 5:
The following is a GGA-PBE calculation of an optimized crystal structure of TbPm4Tl4, from the Alexandria database.

Cell: 6.2193 9.3603 9.3603 Å, 90.00 90.00 90.00°
Last column: nearest neighbours and their distance in Å.
Fractional positions:
1 Tl 0.8813 0.3998 0.7058  1 Tb 3.20, 5 Pm 3.24-3.51, 3 Tl 3.35-3.37
2 Tl 0.1187 0.7058 0.6002  1 Tb 3.20, 5 Pm 3.24-3.51, 3 Tl 3.35-3.37
3 Tl 0.6187 0.1002 0.7942  1 Tb 3.20, 5 Pm 3.24-3.51, 3 Tl 3.35-3.37
4 Tl 0.3813 0.7942 0.8998  1 Tb 3.20, 5 Pm 3.24-3.51, 3 Tl 3.35-3.37
5 Tl 0.3813 0.2058 0.1002  1 Tb 3.20, 5 Pm 3.24-3.51, 3 Tl 3.35-3.37
6 Tl 0.8813 0.6002 0.2942  1 Tb 3.20, 5 Pm 3.24-3.51, 3 Tl 3.35-3.37
7 Tl 0.1187 0.2942 0.3998  1 Tb 3.20, 5 Pm 3.24-3.51, 3 Tl 3.35-3.37
8 Tl 0.6187 0.8998 0.2058  1 Tb 3.20, 5 Pm 3.24-3.51, 3 Tl 3.35-3.37
9 Pm 0.1286 0.0748 0.6681  5 Tl 3.24-3.51, 1 Tb 3.28, 1 Pm 3.44
10 Pm 0.8714 0.3319 0.0748  5 Tl 3.24-3.51, 1 Tb 3.28, 1 Pm 3.44
11 Pm 0.8714 0.6681 0.9252  5 Tl 3.24-3.51, 1 Tb 3.28, 1 Pm 3.44
12 Pm 0.3714 0.5748 0.1681  5 Tl 3.24-3.51, 1 Tb 3.28, 1 Pm 3.44
13 Pm 0.1286 0.9252 0.3319  5 Tl 3.24-3.51, 1 Tb 3.28, 1 Pm 3.44
14 Pm 0.6286 0.8319 0.5748  5 Tl 3.24-3.51, 1 Tb 3.28, 1 Pm 3.44
15 Pm 0.3714 0.4252 0.8319  5 Tl 3.24-3.51, 1 Tb 3.28, 1 Pm 3.44
16 Pm 0.6286 0.1681 0.4252  5 Tl 3.24-3.51, 1 Tb 3.28, 1 Pm 3.44
17 Tb 0.0000 0.0000 0.0000  4 Tl 3.20, 4 Pm 3.28
18 Tb 0.5000 0.5000 0.5000  4 Tl 3.20, 4 Pm 3.28

Computed properties:
Its symmetry is P4_2/n (86). The density of states at the Fermi level comes out at 14.0 states/eV/cell. The energy of formation from the pure elements comes out at -194.3 meV per atom. The calculation puts the final energy at -3.87 eV per atom. Its crystal system is tetragonal.

***

Entry 6:
The following is a GGA-PBE calculation of an optimized crystal structure of Tb2ScMnSe6, from the Alexandria database.

Cell: 6.9653 6.9577 7.3533 Å, 61.69 61.72 60.07°
Last column: nearest neighbours and their distance in Å.
Fractional positions:
1 Tb 0.0194 0.0196 0.9408  6 Se 2.84-2.92
2 Tb 0.5191 0.5193 0.4424  6 Se 2.86-2.90
3 Se 0.5843 0.2021 0.2572  1 Mn 2.61, 1 Sc 2.75, 2 Tb 2.86-2.91
4 Se 0.4470 0.6925 0.7669  1 Mn 2.64, 1 Sc 2.70, 2 Tb 2.84-2.90
5 Se 0.0934 0.4475 0.7665  1 Mn 2.65, 1 Sc 2.69, 2 Tb 2.84-2.89
6 Se 0.2026 0.9569 0.2566  1 Mn 2.60, 1 Sc 2.75, 1 Tb 2.86
7 Se 0.9566 0.5837 0.2575  1 Mn 2.61, 1 Sc 2.75, 2 Tb 2.86-2.91
8 Se 0.6926 0.0935 0.7665  1 Mn 2.65, 1 Sc 2.69, 2 Tb 2.84-2.89
9 Sc 0.8231 0.8230 0.5310  6 Se 2.69-2.75
10 Mn 0.3235 0.3235 0.0298  6 Se 2.60-2.65

Computed properties:
Its symmetry is P1 (1). The density of states at the Fermi level comes out at 4.4 states/eV/cell. The formation energy (no corrections) is -1381 meV/atom. The calculation puts the final energy at -5.95 eV per atom. Its crystal system is triclinic.

***

Entry 7:
The following is a GGA-PBE calculation of an optimized crystal structure of Sm2Sn2O7, from the Alexandria database.

Cell: 7.5185 7.5185 7.5185 Å, 60.00 60.00 60.00°
Last column: nearest neighbours and their distance in Å.
Fractional positions:
1 Sm 0.1250 0.1250 0.1250  8 O 2.30-2.56
2 Sm 0.1250 0.6250 0.1250  8 O 2.30-2.56
3 Sm 0.1250 0.1250 0.6250  8 O 2.30-2.56
4 Sm 0.6250 0.1250 0.1250  8 O 2.30-2.56
5 O 0.2500 0.2500 0.2500  4 Sm 2.30
6 O 0.9610 0.9610 0.5390  2 Sn 2.09
7 O 0.9610 0.5390 0.5390  2 Sn 2.09
8 O 0.2890 0.7110 0.2890  2 Sn 2.09
9 O 0.2890 0.2890 0.7110  2 Sn 2.09
10 O 0.5390 0.9610 0.9610  2 Sn 2.09
11 O 0.2890 0.7110 0.7110  2 Sn 2.09
12 O 0.7110 0.2890 0.7110  2 Sn 2.09
13 O 0.7110 0.2890 0.2890  2 Sn 2.09
14 O 0.7110 0.7110 0.2890  2 Sn 2.09
15 O 0.0000 0.0000 0.0000  4 Sm 2.30
16 O 0.5390 0.5390 0.9610  2 Sn 2.09
17 O 0.9610 0.5390 0.9610  2 Sn 2.09
18 O 0.5390 0.9610 0.5390  2 Sn 2.09
19 Sn 0.6250 0.6250 0.6250  6 O 2.09
20 Sn 0.1250 0.6250 0.6250  6 O 2.09
21 Sn 0.6250 0.1250 0.6250  6 O 2.09
22 Sn 0.6250 0.6250 0.1250  6 O 2.09

Computed properties:
Its symmetry is Fd-3m (227). The density of states at the Fermi level comes out at 0.0 states/eV/cell. The formation energy (no corrections) is -2555 meV/atom. The calculation puts the final energy at -7.30 eV per atom. Its crystal system is cubic.

***

> Among the records above, which one has the highest final energy?

Li2MgSnB